Below is Ba3Mn2InO6 after structural relaxation, with properties calculated at the PBE+U level.

Cell: 6.1129 6.1129 7.0390 Å, 90.00 90.00 120.00°
Space group P-3m1 (No. 164)
Inequivalent atoms, fractional coordinates:
Ba: 0.0000 0.0000 0.0000 x1
Ba: 0.3333 0.6667 0.6336 x2
Mn: 0.3333 0.6667 0.1831 x2
In: 0.0000 0.0000 0.5000 x1
O: 0.1658 0.3316 0.3106 x6

Output
DFT total energy   -6.2832 eV/atom
DOS at the Fermi energy   1.6 states/eV/cell